[1]
The following is a DFT calculation (GGA-PBE) of La3Y4Ho after structural relaxation.

a b c (Å): 3.514 11.866 13.210
angles (deg): 90.00 90.00 90.00
Space group Immm (No. 71)
Asymmetric unit:
La1 0.000 0.000 0.000 x2
La2 0.000 0.500 0.243 x4
Y1 0.000 0.246 0.366 x8
Ho1 0.000 0.000 0.500 x2

## Properties
Energy relative to the elements, kJ/mol of formula units: 104
Fermi-level density of states, states/eV/cell: 27.71
Offset from the most stable computed form, kcal/mol of atoms: 2.47
Total magnetic moment, μB per atom: 0.000
Raw total energy, eV per atom: -5.518

***

[2]
The following is a DFT calculation (GGA-PBE) of La3Y5Ho4 after structural relaxation.

a b c (Å): 16.211 5.971 9.328
angles (deg): 90.00 116.66 90.00
Space group C2/m (No. 12)
Asymmetric unit:
La1 0.000 0.000 0.000 x2
La2 0.207 0.500 0.224 x4
Y1 0.000 0.500 0.000 x2
Y2 0.074 0.000 0.699 x4
Y3 0.172 0.000 0.393 x4
Ho1 0.080 0.500 0.439 x4
Ho2 0.207 0.500 0.871 x4

## Properties
Energy relative to the elements, kJ/mol of formula units: 287
Fermi-level density of states, states/eV/cell: 39.76
Offset from the most stable computed form, kcal/mol of atoms: 5.09
Total magnetic moment, μB per atom: 0.023
Raw total energy, eV per atom: -5.203

***

[3]
The following is a DFT calculation (GGA-PBE) of La4YHo4 after structural relaxation.

a b c (Å): 10.853 10.853 5.156
angles (deg): 90.00 90.00 90.00
Space group I4/mmm (No. 139)
Asymmetric unit:
La1 0.168 0.168 0.000 x8
Y1 0.000 0.000 0.500 x2
Ho1 0.000 0.337 0.500 x8

## Properties
Energy relative to the elements, kJ/mol of formula units: 25
Fermi-level density of states, states/eV/cell: 26.64
Offset from the most stable computed form, kcal/mol of atoms: 0.00
Total magnetic moment, μB per atom: 0.000
Raw total energy, eV per atom: -4.913

***

[4]
The following is a DFT calculation (GGA-PBE) of La7Y12Ho after structural relaxation.

a b c (Å): 11.379 11.379 11.379
angles (deg): 90.00 90.00 90.00
Space group Im-3m (No. 229)
Asymmetric unit:
La1 0.000 0.000 0.500 x6
La2 0.250 0.250 0.250 x8
Y1 0.000 0.246 0.246 x24
Ho1 0.000 0.000 0.000 x2

## Properties
Energy relative to the elements, kJ/mol of formula units: 1174
Fermi-level density of states, states/eV/cell: 59.68
Offset from the most stable computed form, kcal/mol of atoms: 8.95
Total magnetic moment, μB per atom: 0.000
Raw total energy, eV per atom: -5.223

***

[5]
The following is a DFT calculation (GGA-PBE) of La5YHo3 after structural relaxation.

a b c (Å): 9.433 9.433 14.417
angles (deg): 90.00 90.00 90.00
Space group I4/mcm (No. 140)
Asymmetric unit:
La1 0.000 0.000 0.000 x4
La2 0.201 0.299 0.133 x16
Y1 0.000 0.500 0.250 x4
Ho1 0.000 0.000 0.250 x4
Ho2 0.109 0.391 0.500 x8

## Properties
Energy relative to the elements, kJ/mol of formula units: 265
Fermi-level density of states, states/eV/cell: 63.06
Offset from the most stable computed form, kcal/mol of atoms: 1.06
Total magnetic moment, μB per atom: 0.000
Raw total energy, eV per atom: -4.676

***

[6]
The following is a DFT calculation (GGA-PBE) of LaY2Ho7 after structural relaxation.

a b c (Å): 8.636 16.461 5.570
angles (deg): 90.00 90.00 90.00
Space group Cmmm (No. 65)
Asymmetric unit:
La1 0.000 0.000 0.000 x2
Y1 0.000 0.296 0.500 x4
Ho1 0.000 0.211 0.000 x4
Ho2 0.000 0.500 0.500 x2
Ho3 0.176 0.113 0.500 x8

## Properties
Energy relative to the elements, kJ/mol of formula units: 683
Fermi-level density of states, states/eV/cell: 30.53
Offset from the most stable computed form, kcal/mol of atoms: 15.73
Total magnetic moment, μB per atom: 0.000
Raw total energy, eV per atom: -4.282

***

[7]
The following is a DFT calculation (GGA-PBE) of LaY4Ho2 after structural relaxation.

a b c (Å): 5.664 9.756 16.815
angles (deg): 90.00 90.00 90.00
Space group Cmcm (No. 63)
Asymmetric unit:
La1 0.000 0.003 0.250 x4
Y1 0.000 0.000 0.000 x4
Y2 0.000 0.330 0.644 x8
Y3 0.000 0.337 0.250 x4
Ho1 0.000 0.335 0.056 x8

## Properties
Energy relative to the elements, kJ/mol of formula units: 95
Fermi-level density of states, states/eV/cell: 48.62
Offset from the most stable computed form, kcal/mol of atoms: 2.65
Total magnetic moment, μB per atom: 0.000
Raw total energy, eV per atom: -5.565

***

[8]
The following is a DFT calculation (GGA-PBE) of La8Y3Ho2 after structural relaxation.

a b c (Å): 20.602 7.759 5.851
angles (deg): 90.00 90.02 90.00
Space group C2/m (No. 12)
Asymmetric unit:
La1 0.106 0.200 0.000 x8
La2 0.132 0.500 0.500 x4
La3 0.175 0.000 0.501 x4
Y1 0.000 0.218 0.500 x4
Y2 0.000 0.500 0.000 x2
Ho1 0.240 0.500 0.999 x4

## Properties
Energy relative to the elements, kJ/mol of formula units: 224
Fermi-level density of states, states/eV/cell: 34.08
Offset from the most stable computed form, kcal/mol of atoms: 0.91
Total magnetic moment, μB per atom: 0.000
Raw total energy, eV per atom: -5.050

***

[9]
The following is a DFT calculation (GGA-PBE) of La2YHo5 after structural relaxation.

a b c (Å): 15.988 9.885 6.683
angles (deg): 90.00 98.69 90.00
Space group C2/c (No. 15)
Asymmetric unit:
La1 0.071 0.249 0.105 x8
Y1 0.250 0.250 0.000 x4
Ho1 0.000 0.068 0.750 x4
Ho2 0.104 0.420 0.658 x8
Ho3 0.194 0.092 0.526 x8

## Properties
Energy relative to the elements, kJ/mol of formula units: 133
Fermi-level density of states, states/eV/cell: 50.60
Offset from the most stable computed form, kcal/mol of atoms: 3.18
Total magnetic moment, μB per atom: 0.000
Raw total energy, eV per atom: -4.728

***

[10]
The following is a DFT calculation (GGA-PBE) of La6YHo8 after structural relaxation.

a b c (Å): 9.1119 9.1119 21.2553
angles (deg): 90.00 90.00 120.00
Space group R-3 (No. 148, hexagonal axes)
Asymmetric unit:
La1 0.0531 0.2471 0.2134 x18
Y1 0.0000 0.0000 0.5000 x3
Ho1 0.0000 0.0000 0.0768 x6
Ho2 0.0804 0.5680 0.3057 x18

## Properties
Energy relative to the elements, kJ/mol of formula units: 168
Fermi-level density of states, states/eV/cell: 70.47
Total magnetic moment, μB per atom: 0.000
Raw total energy, eV per atom: -4.727

***

[11]
The following is a DFT calculation (GGA-PBE) of La3YHo12 after structural relaxation.

a b c (Å): 5.052 5.052 20.221
angles (deg): 90.00 90.00 90.00
Space group P4/mmm (No. 123)
Asymmetric unit:
La1 0.000 0.000 0.000 x1
La2 0.000 0.000 0.250 x2
Y1 0.000 0.000 0.500 x1
Ho1 0.000 0.500 0.126 x4
Ho2 0.000 0.500 0.377 x4
Ho3 0.500 0.500 0.000 x1
Ho4 0.500 0.500 0.252 x2
Ho5 0.500 0.500 0.500 x1

## Properties
Energy relative to the elements, kJ/mol of formula units: 50
Fermi-level density of states, states/eV/cell: 24.60
Total magnetic moment, μB per atom: 0.000
Raw total energy, eV per atom: -4.729

***

[12]
The following is a DFT calculation (GGA-PBE) of La2Y3Ho5 after structural relaxation.

a b c (Å): 10.667 16.049 9.408
angles (deg): 90.00 124.30 90.00
Space group C2/c (No. 15)
Asymmetric unit:
La1 0.144 0.129 0.048 x8
Y1 0.000 0.021 0.250 x4
Y2 0.155 0.377 0.548 x8
Ho1 0.000 0.229 0.250 x4
Ho2 0.000 0.274 0.750 x4
Ho3 0.000 0.473 0.750 x4
Ho4 0.232 0.378 0.224 x8

## Properties
Energy relative to the elements, kJ/mol of formula units: 191
Fermi-level density of states, states/eV/cell: 68.40
Total magnetic moment, μB per atom: 0.000
Raw total energy, eV per atom: -5.016